Compound: CuReP2O
Source: the Alexandria database
Functional: PBE
Structure: optimized geometry

```
CuReP2O
1.0
-2.3062 4.1155 0.4809
-3.3863 -1.5549 -2.9330
-1.8623 -1.3804 2.8819
Re O Cu P
1 1 1 2
Cartesian
0.0000 0.0000 0.0000
-0.9312 -0.6902 1.4409
-3.7774 0.5901 0.2149
-1.6931 -0.7774 -1.4665
-1.1531 2.0577 0.2404
```

DOS(E_F) = 0.52 states/eV per atom
Energy relative to the elements, uncorrected = 0.1163 eV per atom
Energy above the lowest structure with this stoichiometry = 0 meV/atom

Compound: CuReP2O
Source: the Alexandria database
Functional: PBE
Structure: optimized geometry

```
CuReP2O
1.0
4.1790 0.0000 0.0000
0.0000 4.9829 0.0000
0.0000 0.0000 4.1790
Re O Cu P
1 1 1 2
Cartesian
0.0000 2.4915 0.0000
2.0895 2.4915 2.0895
0.0000 0.0000 0.0000
0.0000 0.0000 2.0895
2.0895 0.0000 0.0000
```

DOS(E_F) = 0.78 states/eV per atom
Energy relative to the elements, uncorrected = 1.7205 eV per atom
Energy above the lowest structure with this stoichiometry = 1604 meV/atom

Compound: CuReP2O
Source: the Alexandria database
Functional: PBE
Structure: optimized geometry

```
CuReP2O
1.0
-3.1952 1.1235 -3.0803
-3.1400 0.1894 3.3263
0.6966 3.2731 0.4712
Re O Cu P
1 1 1 2
Cartesian
-2.8193 2.2930 0.3586
0.3483 1.6366 0.2356
0.0000 0.0000 0.0000
-1.5700 0.0947 1.6631
-1.5976 0.5617 -1.5401
```

DOS(E_F) = 0.97 states/eV per atom
Energy relative to the elements, uncorrected = 0.9121 eV per atom
Energy above the lowest structure with this stoichiometry = 796 meV/atom

Compound: CuPRhO2
Source: the Alexandria database
Functional: PBE
Structure: optimized geometry

```
CuPRhO2
1.0
-2.4267 1.9374 -2.0197
-2.5849 -0.5269 2.6003
1.5392 4.4664 2.4352
P Rh O Cu
1 1 2 1
Cartesian
0.7696 2.2332 1.2176
0.0000 0.0000 0.0000
-1.2925 -0.2635 1.3002
-1.2133 0.9687 -1.0098
-1.7362 2.9384 1.5079
```

DOS(E_F) = 0.29 states/eV per atom
Energy relative to the elements, uncorrected = 0.0725 eV per atom
Energy above the lowest structure with this stoichiometry = 0 meV/atom

Question: What is the energy relative to the elements, uncorrected in the first record?
Answer: 0.1163 eV per atom

Please write out number 2 again, unchanged.
Compound: CuReP2O
Source: the Alexandria database
Functional: PBE
Structure: optimized geometry

```
CuReP2O
1.0
4.1790 0.0000 0.0000
0.0000 4.9829 0.0000
0.0000 0.0000 4.1790
Re O Cu P
1 1 1 2
Cartesian
0.0000 2.4915 0.0000
2.0895 2.4915 2.0895
0.0000 0.0000 0.0000
0.0000 0.0000 2.0895
2.0895 0.0000 0.0000
```

DOS(E_F) = 0.78 states/eV per atom
Energy relative to the elements, uncorrected = 1.7205 eV per atom
Energy above the lowest structure with this stoichiometry = 1604 meV/atom

Question: DOS(E_F) of number 1 (CuReP2O)?
Answer: 0.52 states/eV per atom